Compound: Tb4Sm3Y2
Source: the Alexandria database
Functional: PBE
Structure: optimized geometry

Computed properties:
energy relative to the elements = 0.096 eV/atom
space-group type = C2/c

a = 6.129 Å, b = 11.334 Å, c = 11.334 Å
α = 61.81°, β = 62.65°, γ = 62.65°
Element x y z (fractional)
Tb  0.917  0.856  0.573
Tb  0.079  0.815  0.091
Sm  0.250  0.601  0.399
Y  0.576  0.757  0.483
Sm  0.750  0.399  0.601
Y  0.076  0.483  0.757
Sm  0.251  0.931  0.736
Tb  0.083  0.144  0.427
Y  0.424  0.243  0.517
Sm  0.751  0.736  0.931
Tb  0.417  0.573  0.856
Tb  0.921  0.185  0.909
Tb  0.421  0.909  0.185
Tb  0.579  0.091  0.815
Sm  0.749  0.069  0.264
Tb  0.583  0.427  0.144
Y  0.924  0.517  0.243
Sm  0.249  0.264  0.069